PBE MnInTe2, optimized geometry; size of the total moment = 4.00 μB/f.u.; E_form (uncorrected) = -0.94 kcal/mol of atoms; total energy = -4.5886 eV/atom
1.0
3.821 0.000 0.000
0.000 4.376 -0.046
0.000 1.593 7.490
Mn In Te
1 1 2
direct
0.500 0.750 0.750
0.500 0.250 0.250
0.000 0.830 0.979
0.000 0.670 0.521

---

PBE MnInTe2, optimized geometry; size of the total moment = 4.22 μB/f.u.; E_form (uncorrected) = 0.95 kcal/mol of atoms; total energy = -4.5065 eV/atom
1.0
3.858 -0.023 0.000
-1.622 3.501 0.000
0.000 0.000 8.544
Te Mn In
2 1 1
direct
0.000 0.000 0.959
0.000 0.000 0.541
0.500 0.500 0.750
0.500 0.500 0.250

---

PBE MnTlIn2Te4, optimized geometry; size of the total moment = 4.87 μB/f.u.; E_form (uncorrected) = -4.99 kcal/mol of atoms; total energy = -3.9139 eV/atom
1.0
-3.807 0.564 1.907
0.598 -7.646 -1.384
7.039 -2.106 14.676
Te In Tl Mn
8 4 2 2
direct
0.254 0.508 0.389
0.746 0.492 0.611
0.000 0.000 0.000
0.455 0.910 0.750
0.545 0.090 0.250
0.000 0.000 0.500
0.254 0.508 0.111
0.746 0.492 0.889
0.621 0.242 0.432
0.379 0.758 0.932
0.621 0.242 0.068
0.379 0.758 0.568
0.866 0.731 0.250
0.134 0.269 0.750
0.843 0.686 0.750
0.157 0.314 0.250

---

no.,DOS(E_F) (states/eV/f.u.)
1,0.77
2,2.34
3,2.03